Compound: SrNpMn2O6
Source: Alexandria
Functional: PBE with a Hubbard U
Structure: optimized geometry

Lattice parameters (Å, degrees): 5.6782 5.6782 15.2874 90.00 90.00 120.00
Closest atoms and distances in Å follow each position.
Space group R3 (No. 146, hexagonal axes)
Asymmetric unit:
1 Sr 0.0000 0.0000 0.0000 [3 per cell]  6 O 2.43-2.62
2 Np 0.0000 0.0000 0.4812 [3 per cell]  6 O 2.08-2.12
3 Mn 0.0000 0.0000 0.2719 [3 per cell]  3 O 2.12
4 Mn 0.0000 0.0000 0.7874 [3 per cell]  6 O 2.12-2.37
5 O 0.0025 0.3412 0.2145 [9 per cell]  2 Mn 2.12-2.37, 1 Np 2.12
6 O 0.0344 0.6226 0.0600 [9 per cell]  1 Np 2.08, 1 Mn 2.12

## Properties
**Calculated volume**: 14.23 Å³/atom
**Total energy**: -8.33 eV/atom